Here is an optimized crystal structure of Tc2MoO from Alexandria via LeMat-Bulk. Energies are from PBE with a Hubbard U.

The value obtained for the total moment is 0.00 μB per atom. Its total energy is -7.80 eV per atom.

a b c (Å): 6.5975 6.5975 5.2839
angles (deg): 51.37 51.37 90.00
Last column: nearest neighbours and their distance in Å.
Positions (direct):
O1 0.2500 0.7500 0.5000  4 Tc 2.05
O2 0.5000 0.5000 0.0000  4 Tc 2.05
Tc1 0.8750 0.7847 0.7500  2 O 2.05
Mo1 0.0000 0.0000 0.0000  2 O 2.48, 4 Tc 2.70
Tc2 0.3750 0.4653 0.7500  2 O 2.05
Tc3 0.5347 0.1250 0.2500  2 O 2.05
Mo2 0.7500 0.2500 0.5000  2 O 2.48, 4 Tc 2.70
Tc4 0.2153 0.6250 0.2500  2 O 2.05